# 1
The following is a DFT calculation (GGA-PBE) of crystalline Ba4SrCa8 at its relaxed geometry.

The symmetry is C2/m, No. 12.

Cell lengths 6.477, 6.494, 17.671 Å; angles 79.20, 79.44, 60.08 degrees
Element x y z (fractional)
Ca: 0.594 0.079 0.733
Ca: 0.748 0.234 0.271
Ca: 0.977 0.462 0.583
Ca: 0.209 0.696 0.887
Ca: 0.822 0.309 0.046
Ca: 0.054 0.541 0.351
Ca: 0.284 0.769 0.663
Ca: 0.438 0.924 0.201
Ba: 0.362 0.848 0.427
Ba: 0.131 0.617 0.121
Ba: 0.669 0.155 0.506
Ba: 0.900 0.387 0.813
Sr: 0.516 0.002 0.967

# 2
The following is a DFT calculation (GGA-PBE) of crystalline Ba6Sr7Ca16 at its relaxed geometry.

The symmetry is Fm-3m, No. 225.

Cell lengths 12.938, 12.938, 12.938 Å; angles 60.00, 60.00, 60.00 degrees
Element x y z (fractional)
Ca: 0.524 0.825 0.825
Ca: 0.476 0.175 0.175
Ca: 0.380 0.380 0.861
Ca: 0.380 0.861 0.380
Ca: 0.825 0.524 0.825
Ca: 0.620 0.620 0.139
Ca: 0.380 0.380 0.380
Ca: 0.175 0.476 0.175
Ca: 0.175 0.175 0.175
Ca: 0.139 0.620 0.620
Ca: 0.175 0.175 0.476
Ca: 0.620 0.139 0.620
Ca: 0.861 0.380 0.380
Ca: 0.825 0.825 0.524
Ca: 0.825 0.825 0.825
Ca: 0.620 0.620 0.620
Sr: 0.000 0.000 0.500
Sr: 0.500 0.500 0.000
Sr: 0.500 0.500 0.500
Sr: 0.000 0.500 0.000
Sr: 0.500 0.000 0.500
Sr: 0.500 0.000 0.000
Sr: 0.000 0.500 0.500
Ba: 0.790 0.210 0.790
Ba: 0.210 0.790 0.210
Ba: 0.210 0.790 0.790
Ba: 0.210 0.210 0.790
Ba: 0.790 0.790 0.210
Ba: 0.790 0.210 0.210

# 3
The following is a DFT calculation (GGA-PBE) of crystalline Ba6SrCa3 at its relaxed geometry.

The symmetry is P2_1/c, No. 14.

Cell lengths 11.711, 8.374, 11.825 Å; angles 90.00, 90.25, 90.00 degrees
Element x y z (fractional)
Sr: 0.000 0.000 0.000
Sr: 0.500 0.500 0.500
Ba: 0.833 0.598 0.562
Ba: 0.829 0.585 0.941
Ba: 0.337 0.217 0.755
Ba: 0.171 0.415 0.059
Ba: 0.167 0.402 0.438
Ba: 0.667 0.098 0.938
Ba: 0.671 0.085 0.559
Ba: 0.663 0.783 0.245
Ba: 0.329 0.915 0.441
Ba: 0.163 0.717 0.745
Ba: 0.837 0.283 0.255
Ba: 0.333 0.902 0.062
Ca: 0.984 0.255 0.744
Ca: 0.516 0.755 0.756
Ca: 0.500 0.500 0.000
Ca: 0.484 0.245 0.244
Ca: 0.000 0.000 0.500
Ca: 0.016 0.745 0.256

Going through the records in order, we get calculated formation energy values of 0.0303, 0.0690, 0.1229 eV per atom.
Going through the records in order, we get mass density values of 2.5, 2.3, 3.0 g/cm3.